Entry 1:
The following is a DFT calculation (PBE-GGA) of an optimized crystal structure of Zr2ScAgH.

- energy above the lowest structure with this stoichiometry (meV per atom) = 60.3
- Fermi-level density of states (states/eV/cell) = 5.4
- total magnetic moment (μB per cell) = 0.000

Unit cell a=4.3469 b=4.3469 c=4.6455 alpha=90.00 beta=90.00 gamma=90.00
Last column: nearest neighbours and their distance in Å.
Space group P4/mmm (No. 123)
Inequivalent atoms, fractional coordinates:
Zr (0.0000, 0.5000, 0.0000)  2 H 2.17
Sc (0.0000, 0.0000, 0.5000)  4 Ag 3.07, 8 Zr 3.18
Ag (0.5000, 0.5000, 0.5000)  2 H 2.32
H (0.5000, 0.5000, 0.0000)  4 Zr 2.17, 2 Ag 2.32

=====

Entry 2:
The following is a DFT calculation (PBE-GGA) of an optimized crystal structure of ZrSc2AgH.

- Fermi-level density of states (states/eV/cell) = 6.6
- energy (eV per atom) = -5.65
- total magnetic moment (μB per cell) = 0.000

Unit cell a=4.5604 b=4.5604 c=4.2022 alpha=90.00 beta=90.00 gamma=90.00
Last column: nearest neighbours and their distance in Å.
Space group P4/mmm (No. 123)
Inequivalent atoms, fractional coordinates:
Zr (0.0000, 0.0000, 0.0000)  2 H 2.10
Sc (0.0000, 0.5000, 0.5000)  2 H 2.28
Ag (0.5000, 0.5000, 0.0000)  8 Sc 3.10, 4 Zr 3.22
H (0.0000, 0.0000, 0.5000)  2 Zr 2.10, 4 Sc 2.28

=====

Entry 3:
The following is a DFT calculation (PBE-GGA) of an optimized crystal structure of Zr2ScAgH.

- energy above the lowest structure with this stoichiometry (meV per atom) = 0.0
- Fermi-level density of states (states/eV/cell) = 7.1
- total magnetic moment (μB per cell) = 0.000

Unit cell a=4.3853 b=4.3853 c=4.5513 alpha=90.00 beta=90.00 gamma=90.00
Last column: nearest neighbours and their distance in Å.
Space group P4/mmm (No. 123)
Inequivalent atoms, fractional coordinates:
Zr (0.0000, 0.5000, 0.0000)  2 H 2.19
Sc (0.0000, 0.0000, 0.5000)  2 H 2.28
Ag (0.5000, 0.5000, 0.5000)  4 Sc 3.10, 8 Zr 3.16
H (0.0000, 0.0000, 0.0000)  4 Zr 2.19, 2 Sc 2.28

=====

Entry 4:
The following is a DFT calculation (PBE-GGA) of an optimized crystal structure of Ag2HSe2.

- energy above the lowest structure with this stoichiometry (meV per atom) = 0.0
- Fermi-level density of states (states/eV/cell) = 2.3
- total magnetic moment (μB per cell) = 0.000

Unit cell a=5.3555 b=5.3555 c=7.5947 alpha=90.00 beta=90.00 gamma=90.00
Last column: nearest neighbours and their distance in Å.
Space group I4/mmm (No. 139)
Inequivalent atoms, fractional coordinates:
Ag (0.0000, 0.5000, 0.2500)  4 Se 2.68
H (0.0000, 0.0000, 0.0000)  2 Se 1.80
Se (0.0000, 0.0000, 0.2366)  1 H 1.80